(1)
Computed, not measured: crystalline CuSi17Ge13P at its relaxed geometry at the PBE-GGA level of DFT.

Cell and atoms, written as POSCAR:
```
CuSi17Ge13P
1.0
-2.5720 -5.3098 -3.4647
7.5447 -6.8719 -1.7177
-1.5422 -6.0912 8.2392
Si Ge P Cu
17 13 1 1
direct
0.3758 0.7971 0.3533 Si
0.5000 0.9379 0.1842 Si
0.3734 0.5546 0.1028 Si
0.9972 0.1232 0.6244 Si
0.3808 0.1707 0.2290 Si
0.5000 0.3189 0.0650 Si
0.0073 0.6276 0.1168 Si
0.8687 0.8600 0.1664 Si
0.8739 0.7298 0.5475 Si
0.8669 0.2350 0.0499 Si
0.4968 0.4394 0.6806 Si
0.0010 0.0027 0.0047 Si
0.3714 0.4286 0.4793 Si
0.4924 0.5673 0.3059 Si
0.3663 0.9095 0.9937 Si
0.0038 0.5029 0.4950 Si
0.8762 0.1084 0.4242 Si
0.9998 0.8728 0.3732 Ge
0.0069 0.7419 0.7521 Ge
0.3872 0.6640 0.7525 Ge
0.8697 0.4906 0.2917 Ge
0.8713 0.3618 0.6671 Ge
0.4996 0.8054 0.5609 Ge
0.3708 0.0460 0.6091 Ge
0.0060 0.2472 0.2496 Ge
0.4919 0.0546 0.8218 Ge
0.3799 0.2994 0.8605 Ge
0.8741 0.9832 0.8021 Ge
0.5017 0.1921 0.4327 Ge
0.9976 0.3788 0.8793 Ge
0.8699 0.6123 0.9281 P
0.5216 0.6862 0.9466 Cu
```

Computed properties:
Its space group is P1. The energy above the lowest structure with this stoichiometry comes out at 11 meV per atom. The value obtained for the theoretical density is 3.68 g/cm3.

(2)
Computed, not measured: crystalline CuSi17Ge13P at its relaxed geometry at the PBE-GGA level of DFT.

Cell and atoms, written as POSCAR:
```
CuSi17Ge13P
1.0
-0.9523 5.0161 -2.3222
-2.4139 -1.6772 -2.6329
-23.8248 4.2543 19.1331
Si Ge P Cu
17 13 1 1
direct
0.4962 0.5000 0.3150 Si
0.4893 0.5000 0.8059 Si
0.7551 0.5000 0.2539 Si
0.4896 0.5000 0.5742 Si
0.5051 0.5000 0.4420 Si
0.9952 0.0000 0.2532 Si
0.4945 0.5000 0.0630 Si
0.7449 0.5000 0.1245 Si
0.2575 0.0000 0.5700 Si
0.7422 0.5000 0.3782 Si
0.2563 0.0000 0.0618 Si
0.7394 0.5000 0.8682 Si
0.4985 0.5000 0.6757 Si
0.9987 0.0000 0.7452 Si
0.2493 0.0000 0.8066 Si
0.2546 0.0000 0.3137 Si
0.0056 0.0000 0.0004 Si
0.5042 0.5000 0.9341 Ge
0.2554 0.0000 0.4411 Ge
0.9898 0.0000 0.8693 Ge
0.2557 0.0000 0.6826 Ge
0.9941 0.0000 0.1238 Ge
0.7489 0.5000 0.7416 Ge
0.5065 0.5000 0.1896 Ge
0.2441 0.0000 0.1896 Ge
0.7428 0.5000 0.5090 Ge
0.0050 0.0000 0.5066 Ge
0.2421 0.0000 0.9354 Ge
0.9942 0.0000 0.3763 Ge
0.7559 0.5000 0.0005 Ge
0.9912 0.0000 0.6241 P
0.7983 0.5000 0.6246 Cu
```

Computed properties:
Its space group is Pm. The energy above the lowest structure with this stoichiometry comes out at 0 meV per atom. The value obtained for the theoretical density is 3.69 g/cm3.

(3)
Computed, not measured: crystalline CuSi16Ge12P3 at its relaxed geometry at the PBE-GGA level of DFT.

Cell and atoms, written as POSCAR:
```
CuSi16Ge12P3
1.0
6.7710 0.0000 0.0000
3.3808 9.7816 0.0000
1.1240 1.1842 10.2227
Si P Ge Cu
16 3 12 1
direct
0.3773 0.7956 0.3464 Si
0.8706 0.7311 0.5467 Si
0.0151 0.6207 0.1185 Si
0.8744 0.8582 0.1616 Si
0.3826 0.5525 0.1039 Si
0.8761 0.1098 0.4215 Si
0.4966 0.3195 0.0690 Si
0.4866 0.4445 0.6855 Si
0.4862 0.5626 0.3101 Si
0.9976 0.1215 0.6256 Si
0.0035 0.5027 0.4997 Si
0.0127 0.0028 0.0012 Si
0.8709 0.2385 0.0442 Si
0.3740 0.4257 0.4847 Si
0.3859 0.1671 0.2289 Si
0.4994 0.9381 0.1789 Si
0.8649 0.6087 0.9289 P
0.3757 0.9137 0.9885 P
0.9916 0.3841 0.8815 P
0.4951 0.8040 0.5540 Ge
0.0065 0.2506 0.2477 Ge
0.0106 0.7358 0.7506 Ge
0.8669 0.3612 0.6721 Ge
0.4872 0.0609 0.8217 Ge
0.9991 0.8726 0.3719 Ge
0.4998 0.1911 0.4347 Ge
0.8651 0.4921 0.2955 Ge
0.8777 0.9784 0.8025 Ge
0.3936 0.6699 0.7513 Ge
0.3711 0.3037 0.8641 Ge
0.3729 0.0421 0.6085 Ge
0.5128 0.6903 0.9502 Cu
```

Computed properties:
Its space group is P1. The total energy comes out at -161.29 eV per cell. The value obtained for the theoretical density is 3.62 g/cm3.

(4)
Computed, not measured: crystalline CuSi17Ge13P at its relaxed geometry at the PBE-GGA level of DFT.

Cell and atoms, written as POSCAR:
```
CuSi17Ge13P
1.0
5.5340 0.0000 0.0000
0.0000 3.9451 0.0000
-0.0047 0.0000 31.4514
Si Ge P Cu
17 13 1 1
direct
0.4925 0.5000 0.0654 Si
0.2611 0.0000 0.5642 Si
0.0048 0.0000 0.0021 Si
0.2504 0.0000 0.3107 Si
0.7553 0.5000 0.2497 Si
0.4933 0.5000 0.8126 Si
0.0039 0.0000 0.7506 Si
0.5112 0.5000 0.6860 Si
0.4998 0.5000 0.5643 Si
0.2526 0.0000 0.0627 Si
0.5063 0.5000 0.4350 Si
0.4939 0.5000 0.3102 Si
0.7430 0.5000 0.8733 Si
0.7427 0.5000 0.1267 Si
0.9961 0.0000 0.2504 Si
0.2541 0.0000 0.8113 Si
0.7416 0.5000 0.3722 Si
0.2561 0.0000 0.4367 Ge
0.7516 0.5000 0.7503 Ge
0.2583 0.0000 0.6879 Ge
0.2622 0.0000 0.1887 Ge
0.9929 0.0000 0.8729 Ge
0.5050 0.5000 0.9375 Ge
0.7547 0.5000 0.0032 Ge
0.9945 0.0000 0.1248 Ge
0.9824 0.0000 0.6245 Ge
0.0060 0.0000 0.5018 Ge
0.7412 0.5000 0.5002 Ge
0.9939 0.0000 0.3728 Ge
0.2426 0.0000 0.9380 Ge
0.5158 0.5000 0.1887 P
0.7403 0.5000 0.6247 Cu
```

Computed properties:
Its space group is Pm. The energy above the lowest structure with this stoichiometry comes out at 44 meV per atom. The value obtained for the theoretical density is 3.67 g/cm3.

(5)
Computed, not measured: crystalline SrCu2GeP at its relaxed geometry at the PBE-GGA level of DFT.

Cell and atoms, written as POSCAR:
```
SrCu2GeP
1.0
-2.0064 -4.5336 3.1623
-4.7606 0.7148 3.3771
1.6534 1.0943 -5.5361
Cu Ge Sr P
2 1 1 1
direct
0.2522 0.7522 0.5000 Cu
0.7522 0.2522 0.5000 Cu
0.6211 0.6211 0.0000 Ge
0.9979 0.9979 0.0000 Sr
0.3767 0.3767 0.0000 P
```

Computed properties:
Its space group is I4mm. The total energy comes out at -21.53 eV per cell. The value obtained for the theoretical density is 5.92 g/cm3.

(6)
Computed, not measured: crystalline PaCuGe2 at its relaxed geometry at the PBE-GGA level of DFT.

Cell and atoms, written as POSCAR:
```
PaCuGe2
1.0
-2.0269 2.0269 9.1636
2.0269 -2.0269 9.1636
2.0269 2.0269 -9.1636
Pa Cu Ge
2 2 4
direct
0.8805 0.8805 0.0000 Pa
0.1195 0.1195 0.0000 Pa
0.7500 0.2500 0.5000 Cu
0.2500 0.7500 0.5000 Cu
0.5000 0.0000 0.5000 Ge
0.0000 0.5000 0.5000 Ge
0.3327 0.3327 0.0000 Ge
0.6673 0.6673 0.0000 Ge
```

Computed properties:
Its space group is I4/mmm. The total magnetic moment comes out at 0.00 μB per cell. The total energy comes out at -48.19 eV per cell. The value obtained for the theoretical density is 9.70 g/cm3.

Question: What is the formula in the fifth record?
Answer: SrCu2GeP